First-principles (PBE) data for Sm5Ru2Pt after structural relaxation, as listed in Alexandria.

Calculated values
- Formation energy from the elements: -0.488 eV/atom

a b c (Å): 8.736 8.736 8.736
angles (deg): 128.31 128.31 76.12
Fractional coordinates of all 16 atoms:
Sm 0.000 0.000 0.000
Sm 0.030 0.530 0.839
Sm 0.191 0.030 0.500
Sm 0.309 0.809 0.839
Sm 0.470 0.309 0.500
Sm 0.500 0.500 0.000
Sm 0.530 0.691 0.500
Sm 0.691 0.191 0.161
Sm 0.809 0.970 0.500
Sm 0.970 0.470 0.161
Ru 0.132 0.368 0.500
Ru 0.368 0.868 0.236
Ru 0.632 0.132 0.764
Ru 0.868 0.632 0.500
Pt 0.250 0.250 0.000
Pt 0.750 0.750 0.000